! NaTaPd3 PBE relaxed; values from VASP
! ρ, g/cm³: 7.3
! Offset from the most stable computed form, meV per atom: 0
! Energy of formation from the pure elements, eV/f.u.: 2.70
! Magnetic moment, μB/atom: 0.000
! Final energy, eV per formula unit: -26.048
&SYSTEM
  ibrav = 0, nat = 5, ntyp = 3
/
ATOMIC_SPECIES
Na 22.99 Na.upf
Ta 180.95 Ta.upf
Pd 106.42 Pd.upf
CELL_PARAMETERS angstrom
4.9111 0.0000 0.0000
0.0000 4.9111 0.0000
0.0000 0.0000 4.9111
ATOMIC_POSITIONS crystal
Na 0.0000 0.0000 0.0000
Ta 0.5000 0.5000 0.5000
Pd 0.0000 0.5000 0.5000
Pd 0.5000 0.0000 0.5000
Pd 0.5000 0.5000 0.0000

! NaTa3Pd PBE relaxed; values from VASP
! ρ, g/cm³: 11.3
! Offset from the most stable computed form, meV per atom: 779
! Energy of formation from the pure elements, eV/f.u.: 11.47
! Magnetic moment, μB/atom: 0.000
! Final energy, eV per formula unit: -30.595
&SYSTEM
  ibrav = 0, nat = 5, ntyp = 3
/
ATOMIC_SPECIES
Na 22.99 Na.upf
Ta 180.95 Ta.upf
Pd 106.42 Pd.upf
CELL_PARAMETERS angstrom
4.6199 0.0000 0.0000
0.0000 4.6199 0.0000
0.0000 0.0000 4.6199
ATOMIC_POSITIONS crystal
Na 0.0000 0.0000 0.0000
Ta 0.0000 0.0000 0.5000
Ta 0.0000 0.5000 0.0000
Ta 0.5000 0.0000 0.0000
Pd 0.5000 0.5000 0.5000